No. 1
DFT (GGA-PBE) results for crystalline PrCd2Cl8 at its relaxed geometry.

Properties
Calculated volume   28.52 Å³ per atom
Fermi-level density of states   16.7 states/eV per cell
E   -3.21 eV per atom
M_tot   0.001 μB/cell
Crystal system   tetragonal

Structure (CIF):
```
data_PrCd2Cl8
_symmetry_space_group_name_H-M 'I 4 2 2'
_symmetry_Int_Tables_number 97
_symmetry_space_group_name_Hall 'I 4 2'
_cell_length_a 7.041
_cell_length_b 7.041
_cell_length_c 12.655
_cell_angle_alpha 90.00
_cell_angle_beta 90.00
_cell_angle_gamma 90.00
loop_
_atom_site_label
_atom_site_type_symbol
_atom_site_fract_x
_atom_site_fract_y
_atom_site_fract_z
Pr1 Pr 0.000 0.000 0.000
Cd1 Cd 0.000 0.500 0.250
Cl1 Cl 0.183 0.302 0.883
```

=====

No. 2
DFT (GGA-PBE) results for crystalline Ca2InTe2 at its relaxed geometry.

Properties
Calculated volume   31.33 Å³ per atom
ΔE to the lowest computed polymorph   0.00 eV per formula unit
Fermi-level density of states   2.5 states/eV per cell
M_tot   0.000 μB/cell
Crystal system   tetragonal

Structure (CIF):
```
data_Ca2InTe2
_symmetry_space_group_name_H-M 'P 4/m b m'
_symmetry_Int_Tables_number 127
_symmetry_space_group_name_Hall '-P 4 2ab'
_cell_length_a 8.740
_cell_length_b 8.740
_cell_length_c 4.101
_cell_angle_alpha 90.00
_cell_angle_beta 90.00
_cell_angle_gamma 90.00
loop_
_atom_site_label
_atom_site_type_symbol
_atom_site_fract_x
_atom_site_fract_y
_atom_site_fract_z
Ca1 Ca 0.153 0.347 0.000
In1 In 0.000 0.000 0.500
Te1 Te 0.150 0.650 0.500
```

=====

No. 3
DFT (GGA-PBE) results for crystalline Sm4Ho3ScS8 at its relaxed geometry.

Properties
Calculated volume   21.41 Å³ per atom
Fermi-level density of states   25.4 states/eV per cell
E   -6.47 eV per atom
M_tot   0.000 μB/cell
Crystal system   trigonal

Structure (CIF):
```
data_Sm4Ho3ScS8
_symmetry_space_group_name_H-M 'R -3 m'
_symmetry_Int_Tables_number 166
_symmetry_space_group_name_Hall '-R 3 2"'
_cell_length_a 7.8040
_cell_length_b 7.8040
_cell_length_c 19.4828
_cell_angle_alpha 90.00
_cell_angle_beta 90.00
_cell_angle_gamma 120.00
loop_
_atom_site_label
_atom_site_type_symbol
_atom_site_fract_x
_atom_site_fract_y
_atom_site_fract_z
Sm1 Sm 0.0000 0.0000 0.0000
Sm2 Sm 0.0000 0.5000 0.0000
Ho1 Ho 0.0000 0.5000 0.5000
Sc1 Sc 0.0000 0.0000 0.5000
S1 S 0.0000 0.0000 0.2458
S2 S 0.0066 0.5033 0.2442
```

=====

No. 4
DFT (GGA-PBE) results for crystalline MnPbI4 at its relaxed geometry.

Properties
Calculated volume   42.48 Å³ per atom
Fermi-level density of states   0.0 states/eV per cell
E   -3.70 eV per atom
M_tot   4.996 μB/cell
Crystal system   triclinic

Structure (CIF):
```
data_MnPbI4
_symmetry_space_group_name_H-M 'P -1'
_symmetry_Int_Tables_number 2
_symmetry_space_group_name_Hall '-P 1'
_cell_length_a 4.343
_cell_length_b 7.856
_cell_length_c 7.894
_cell_angle_alpha 80.03
_cell_angle_beta 74.16
_cell_angle_gamma 89.99
loop_
_atom_site_label
_atom_site_type_symbol
_atom_site_fract_x
_atom_site_fract_y
_atom_site_fract_z
Mn1 Mn 0.000 0.000 0.000
Pb1 Pb 0.500 0.500 0.000
I1 I 0.119 0.337 0.761
I2 I 0.390 0.106 0.222
```

=====

No. 5
DFT (GGA-PBE) results for crystalline TbDyPa2As4 at its relaxed geometry.

Properties
Calculated volume   24.46 Å³ per atom
Fermi-level density of states   8.1 states/eV per cell
Energy of formation from the pure elements   -1.284 eV/atom
M_tot   0.001 μB/cell
Crystal system   monoclinic

Structure (CIF):
```
data_TbDyPa2As4
_symmetry_space_group_name_H-M 'P 1 2/m 1'
_symmetry_Int_Tables_number 10
_symmetry_space_group_name_Hall '-P 2y'
_cell_length_a 7.106
_cell_length_b 4.107
_cell_length_c 7.112
_cell_angle_alpha 90.00
_cell_angle_beta 109.49
_cell_angle_gamma 90.00
loop_
_atom_site_label
_atom_site_type_symbol
_atom_site_fract_x
_atom_site_fract_y
_atom_site_fract_z
Tb1 Tb 0.000 0.000 0.000
Dy1 Dy 0.000 0.500 0.500
Pa1 Pa 0.500 0.000 0.500
Pa2 Pa 0.500 0.500 0.000
As1 As 0.252 0.000 0.750
As2 As 0.253 0.500 0.252
```

=====

No. 6
DFT (GGA-PBE) results for crystalline Li4CuO3 at its relaxed geometry.

Properties
Calculated volume   10.16 Å³ per atom
Fermi-level density of states   1.7 states/eV per cell
E   -4.82 eV per atom
M_tot   4.149 μB/cell
Crystal system   monoclinic

Structure (CIF):
```
data_Li4CuO3
_symmetry_space_group_name_H-M 'C 1 c 1'
_symmetry_Int_Tables_number 9
_symmetry_space_group_name_Hall 'C -2yc'
_cell_length_a 10.133
_cell_length_b 5.007
_cell_length_c 6.881
_cell_angle_alpha 90.00
_cell_angle_beta 111.42
_cell_angle_gamma 90.00
loop_
_atom_site_label
_atom_site_type_symbol
_atom_site_fract_x
_atom_site_fract_y
_atom_site_fract_z
Li1 Li 0.000 0.139 0.000
Li2 Li 0.244 0.157 0.402
Li3 Li 0.315 0.286 0.089
Li4 Li 0.388 0.149 0.788
Cu1 Cu 0.129 0.376 0.678
O1 O 0.182 0.023 0.627
O2 O 0.316 0.496 0.836
O3 O 0.448 0.008 0.569
```